Pr2Si3Pt12Au PBE optimized geometry; crystal system = trigonal; formation energy from raw total energies = -0.4094 eV/atom; calculated total energy = -109.0 eV/cell; DOS at the Fermi energy = 6.949 states/eV per cell; calculated volume = 362.80 Å³ per cell
1.0
4.152 2.397 6.074
-4.152 2.397 6.074
0.000 -4.795 6.074
Pr Si Pt Au
2 3 12 1
direct
0.110 0.110 0.110 Pr
0.890 0.890 0.890 Pr
0.000 0.500 0.500 Si
0.500 0.000 0.500 Si
0.500 0.500 0.000 Si
0.113 0.634 0.634 Pt
0.148 0.148 0.602 Pt
0.148 0.602 0.148 Pt
0.366 0.366 0.887 Pt
0.366 0.887 0.366 Pt
0.398 0.852 0.852 Pt
0.602 0.148 0.148 Pt
0.634 0.113 0.634 Pt
0.634 0.634 0.113 Pt
0.852 0.398 0.852 Pt
0.852 0.852 0.398 Pt
0.887 0.366 0.366 Pt
0.500 0.500 0.500 Au